No. 1
# Fe2CoSe4 (SCAN, PBEsol geometry)
# energy relative to the elements, uncorrected: -229 meV/atom
# V: 15.1 A^3/atom
data_Fe2CoSe4
_chemical_formula_sum 'Fe4 Co2 Se8'
_space_group_name_H-M_alt 'C 1 m 1'
_space_group_IT_number 8
_cell_length_a 11.5280
_cell_length_b 3.4961
_cell_length_c 5.9908
_cell_angle_alpha 90.00
_cell_angle_beta 118.71
_cell_angle_gamma 90.00
loop_
_space_group_symop_operation_xyz
'x,y,z'
'x,-y,z'
'x+1/2,y+1/2,z'
'x+1/2,-y+1/2,z'
loop_
_atom_site_label
_atom_site_type_symbol
_atom_site_fract_x
_atom_site_fract_y
_atom_site_fract_z
_atom_site_occupancy
Fe1 Fe 0.0000 0.0000 0.0000 1
Fe2 Fe 0.2380 0.5000 0.7117 1
Co1 Co 0.2650 0.0000 0.2897 1
Se1 Se 0.1160 0.0000 0.4521 1
Se2 Se 0.1342 0.5000 0.9750 1
Se3 Se 0.3652 0.0000 0.0219 1
Se4 Se 0.3861 0.5000 0.5480 1


No. 2
# KZr2Tc (SCAN, PBEsol geometry)
# calculated formation energy: 456 meV/atom
# offset from the most stable computed form: 0.3798 eV per atom
# V: 28.5 A^3/atom
data_KZr2Tc
_chemical_formula_sum 'K2 Zr4 Tc2'
_space_group_name_H-M_alt 'I m m 2'
_space_group_IT_number 44
_cell_length_a 3.2687
_cell_length_b 4.3481
_cell_length_c 16.0520
_cell_angle_alpha 90.00
_cell_angle_beta 90.00
_cell_angle_gamma 90.00
loop_
_space_group_symop_operation_xyz
'x,y,z'
'-x,-y,z'
'-x,y,z'
'x,-y,z'
'x+1/2,y+1/2,z+1/2'
'-x+1/2,-y+1/2,z+1/2'
'-x+1/2,y+1/2,z+1/2'
'x+1/2,-y+1/2,z+1/2'
loop_
_atom_site_label
_atom_site_type_symbol
_atom_site_fract_x
_atom_site_fract_y
_atom_site_fract_z
_atom_site_occupancy
K1 K 0.0000 0.0000 0.0000 1
Zr1 Zr 0.0000 0.0000 0.3186 1
Zr2 Zr 0.0000 0.5000 0.1892 1
Tc1 Tc 0.0000 0.5000 0.6966 1


No. 3
# RbAlGaIr2 (SCAN, PBEsol geometry)
# calculated formation energy: 1047 meV/atom
# V: 23.1 A^3/atom
data_RbAlGaIr2
_chemical_formula_sum 'Rb1 Al1 Ga1 Ir2'
_space_group_name_H-M_alt 'P 4/m m m'
_space_group_IT_number 123
_space_group_name_Hall '-P 4 2'
_cell_length_a 4.5876
_cell_length_b 4.5876
_cell_length_c 5.4931
_cell_angle_alpha 90.00
_cell_angle_beta 90.00
_cell_angle_gamma 90.00
loop_
_atom_site_label
_atom_site_type_symbol
_atom_site_fract_x
_atom_site_fract_y
_atom_site_fract_z
_atom_site_occupancy
Rb1 Rb 0.0000 0.0000 0.0000 1
Al1 Al 0.0000 0.0000 0.5000 1
Ga1 Ga 0.5000 0.5000 0.0000 1
Ir1 Ir 0.0000 0.5000 0.5000 1


Q: Which of these has the lowest V?
A: Fe2CoSe4


Q: What is the V in the second record?
A: 28.5 A^3/atom


Q: Which of these has the highest V?
A: KZr2Tc